Entry 1:
The following is a PBE calculation of an optimized crystal structure of MgH4Pd8, from the Alexandria database.

```
13
Lattice="2.871 0.043 0.319 1.113 7.197 1.985 -0.821 1.357 7.535" Properties=species:S:1:pos:R:3 pbc="T T T"
Pd 0.844 3.520 5.665
Pd -0.484 1.093 4.901
Pd 1.140 2.538 2.957
Pd 2.020 3.725 8.224
Pd 2.466 5.012 3.692
Pd 0.468 6.166 8.669
Pd 0.922 7.395 4.137
Pd 2.170 5.993 6.399
Mg 0.686 1.349 7.454
H 0.914 5.652 4.516
H 2.397 2.879 4.839
H 2.694 3.607 2.355
H 0.623 4.924 7.001
```

Values from the calculation:
- SG = P1, No. 1
- total energy (eV/atom) = -4.55

Entry 2:
The following is a PBE calculation of an optimized crystal structure of AcGdBiCl, from the Alexandria database.

```
4
Lattice="-4.309 -3.464 -0.539 -1.053 -3.759 3.952 -4.454 0.579 3.268" Properties=species:S:1:pos:R:3 pbc="T T T"
Gd 0.000 0.000 0.000
Ac -4.908 -3.322 3.340
Cl -2.454 -1.661 1.670
Bi -7.362 -4.983 5.011
```

Values from the calculation:
- raw formation energy (meV/atom) = -1044.4
- SG = F-43m, No. 216
- total energy (eV/atom) = -7.02

Entry 3:
The following is a PBE calculation of an optimized crystal structure of Ba3PmPu2O9, from the Alexandria database.

```
15
Lattice="-4.245 -2.171 -4.068 -1.241 -0.037 6.143 -3.043 7.022 -0.572" Properties=species:S:1:pos:R:3 pbc="T T T"
O -2.750 1.876 4.191
O -6.376 2.920 0.267
O -2.153 1.894 1.236
O -4.791 0.832 2.234
O -2.122 -1.085 -2.034
O -2.743 -1.104 1.038
O -5.779 2.938 -2.687
O -0.620 -0.018 3.071
O -3.737 3.982 -0.731
Ba -4.251 3.888 2.361
Ba -4.277 0.926 -0.858
Ba 0.000 0.000 0.000
Pu -2.737 0.394 2.646
Pu -5.791 4.420 -1.143
Pm -1.521 3.511 -0.286
```

Values from the calculation:
- raw formation energy (meV/atom) = -2980.0
- SG = P-3m1, No. 164
- total energy (eV/atom) = -8.57